--- i ---
# ZrAlNi2H (GGA-PBE, optimized geometry)
# * space-group type: P4/mmm, No. 123
data_ZrAlNi2H
_chemical_formula_sum 'Zr1 Al1 Ni2 H1'
_cell_length_a 3.9527
_cell_length_b 3.9527
_cell_length_c 3.9719
_cell_angle_alpha 90.00
_cell_angle_beta 90.00
_cell_angle_gamma 90.00
_symmetry_space_group_name_H-M 'P 1'
_symmetry_Int_Tables_number 1
loop_
_symmetry_equiv_pos_as_xyz
'x,y,z'
loop_
_atom_site_label
_atom_site_fract_x
_atom_site_fract_y
_atom_site_fract_z
H1 0.0000 0.0000 0.0000
Zr1 0.0000 0.0000 0.5000
Ni1 0.0000 0.5000 0.0000
Ni2 0.5000 0.0000 0.0000
Al1 0.5000 0.5000 0.5000


--- ii ---
# ZrAlNi2H (GGA-PBE, optimized geometry)
# * space-group type: Cmcm, No. 63
data_ZrAlNi2H
_chemical_formula_sum 'Zr2 Al2 Ni4 H2'
_cell_length_a 3.0971
_cell_length_b 5.8663
_cell_length_c 6.9778
_cell_angle_alpha 90.00
_cell_angle_beta 90.00
_cell_angle_gamma 105.31
_symmetry_space_group_name_H-M 'P 1'
_symmetry_Int_Tables_number 1
loop_
_symmetry_equiv_pos_as_xyz
'x,y,z'
loop_
_atom_site_label
_atom_site_fract_x
_atom_site_fract_y
_atom_site_fract_z
H1 0.0000 0.0000 0.0000
H2 0.0000 0.0000 0.5000
Ni1 0.8537 0.7074 0.0509
Ni2 0.1463 0.2926 0.9491
Ni3 0.8537 0.7074 0.4491
Ni4 0.1463 0.2926 0.5509
Zr1 0.5234 0.0467 0.2500
Zr2 0.4766 0.9533 0.7500
Al1 0.7502 0.5004 0.7500
Al2 0.2498 0.4996 0.2500


The structure with the most favorable energy is ii; the runner-up is 203 meV/atom above it.


--- i ---
# Al2HO (GGA-PBE, optimized geometry)
# * space-group type: I-42d, No. 122
data_Al2HO
_chemical_formula_sum 'Al4 H2 O2'
_cell_length_a 4.6127
_cell_length_b 4.6127
_cell_length_c 5.2967
_cell_angle_alpha 64.19
_cell_angle_beta 64.19
_cell_angle_gamma 90.00
_symmetry_space_group_name_H-M 'P 1'
_symmetry_Int_Tables_number 1
loop_
_symmetry_equiv_pos_as_xyz
'x,y,z'
loop_
_atom_site_label
_atom_site_fract_x
_atom_site_fract_y
_atom_site_fract_z
Al1 0.3750 0.3818 0.7500
Al2 0.6182 0.1250 0.2500
Al3 0.8750 0.8682 0.7500
Al4 0.1318 0.6250 0.2500
O1 0.0000 0.0000 0.0000
O2 0.7500 0.2500 0.5000
H1 0.2500 0.7500 0.5000
H2 0.5000 0.5000 0.0000


--- ii ---
# Al2HO (GGA-PBE, optimized geometry)
# * space-group type: Fm-3m, No. 225
data_Al2HO
_chemical_formula_sum 'Al2 H1 O1'
_cell_length_a 3.9895
_cell_length_b 3.9895
_cell_length_c 3.9895
_cell_angle_alpha 60.00
_cell_angle_beta 60.00
_cell_angle_gamma 60.00
_symmetry_space_group_name_H-M 'P 1'
_symmetry_Int_Tables_number 1
loop_
_symmetry_equiv_pos_as_xyz
'x,y,z'
loop_
_atom_site_label
_atom_site_fract_x
_atom_site_fract_y
_atom_site_fract_z
O1 0.5000 0.5000 0.5000
H1 0.0000 0.0000 0.0000
Al1 0.7500 0.7500 0.7500
Al2 0.2500 0.2500 0.2500


The structure with the most favorable energy is i; the runner-up is 737 meV/atom above it.


--- i ---
# AlPHO2 (GGA-PBE, optimized geometry)
# * space-group type: P4/mmm, No. 123
data_AlPHO2
_chemical_formula_sum 'Al1 P1 H1 O2'
_cell_length_a 4.0116
_cell_length_b 4.0116
_cell_length_c 2.9424
_cell_angle_alpha 90.00
_cell_angle_beta 90.00
_cell_angle_gamma 90.00
_symmetry_space_group_name_H-M 'P 1'
_symmetry_Int_Tables_number 1
loop_
_symmetry_equiv_pos_as_xyz
'x,y,z'
loop_
_atom_site_label
_atom_site_fract_x
_atom_site_fract_y
_atom_site_fract_z
P1 0.0000 0.0000 0.5000
Al1 0.5000 0.5000 0.5000
H1 0.0000 0.0000 0.0000
O1 0.5000 0.0000 0.0000
O2 0.0000 0.5000 0.0000


--- ii ---
# AlPHO2 (GGA-PBE, optimized geometry)
# * space-group type: P4/mmm, No. 123
data_AlPHO2
_chemical_formula_sum 'Al1 P1 H1 O2'
_cell_length_a 3.4471
_cell_length_b 3.4471
_cell_length_c 5.9631
_cell_angle_alpha 90.00
_cell_angle_beta 90.00
_cell_angle_gamma 90.00
_symmetry_space_group_name_H-M 'P 1'
_symmetry_Int_Tables_number 1
loop_
_symmetry_equiv_pos_as_xyz
'x,y,z'
loop_
_atom_site_label
_atom_site_fract_x
_atom_site_fract_y
_atom_site_fract_z
O1 0.5000 0.0000 0.0000
O2 0.0000 0.5000 0.0000
Al1 0.0000 0.0000 0.0000
H1 0.5000 0.5000 0.5000
P1 0.0000 0.0000 0.5000


The structure with the most favorable energy is ii; the runner-up is 519 meV/atom above it.


--- i ---
# AlHOs3 (GGA-PBE, optimized geometry)
# * space-group type: Pm-3m, No. 221
data_AlHOs3
_chemical_formula_sum 'Al1 H1 Os3'
_cell_length_a 4.4447
_cell_length_b 4.4447
_cell_length_c 4.4447
_cell_angle_alpha 90.00
_cell_angle_beta 90.00
_cell_angle_gamma 90.00
_symmetry_space_group_name_H-M 'P 1'
_symmetry_Int_Tables_number 1
loop_
_symmetry_equiv_pos_as_xyz
'x,y,z'
loop_
_atom_site_label
_atom_site_fract_x
_atom_site_fract_y
_atom_site_fract_z
H1 0.5000 0.5000 0.5000
Os1 0.0000 0.5000 0.0000
Os2 0.0000 0.0000 0.5000
Os3 0.5000 0.0000 0.0000
Al1 0.0000 0.0000 0.0000


--- ii ---
# AlHOs3 (GGA-PBE, optimized geometry)
# * space-group type: Pm-3m, No. 221
data_AlHOs3
_chemical_formula_sum 'Al1 H1 Os3'
_cell_length_a 3.9160
_cell_length_b 3.9160
_cell_length_c 3.9160
_cell_angle_alpha 90.00
_cell_angle_beta 90.00
_cell_angle_gamma 90.00
_symmetry_space_group_name_H-M 'P 1'
_symmetry_Int_Tables_number 1
loop_
_symmetry_equiv_pos_as_xyz
'x,y,z'
loop_
_atom_site_label
_atom_site_fract_x
_atom_site_fract_y
_atom_site_fract_z
Os1 0.5000 0.0000 0.0000
Os2 0.0000 0.0000 0.5000
Os3 0.0000 0.5000 0.0000
H1 0.0000 0.0000 0.0000
Al1 0.5000 0.5000 0.5000


The structure with the most favorable energy is ii; the runner-up is 2301 meV/atom above it.